Record 1
LiHfThRe | GGA-PBE | relaxed

The structure in POSCAR format:
```
LiHfThRe
1.0
-1.239 -4.213 2.132
3.240 -2.380 2.769
-0.606 -0.201 4.839
Re Hf Th Li
1 1 1 1
Cartesian
0.349 -1.698 2.435
0.000 0.000 0.000
0.698 -3.397 4.870
1.047 -5.095 7.305
```

Properties
spin magnetization	0.000	Bohr magnetons per cell
space-group type	F-43m
V	82.24	Å³/cell
formation enthalpy at 0 K	-0.003	eV per atom

---

Record 2
TbSm2ScSe4 | GGA-PBE | relaxed

The structure in POSCAR format:
```
TbSm2ScSe4
1.0
-2.772 -0.424 2.899
2.024 -6.673 0.959
3.859 4.238 4.311
Tb Sm Sc Se
1 2 1 4
Cartesian
-0.374 -3.549 1.929
0.543 1.907 3.605
2.942 -1.218 2.635
0.000 0.000 0.000
-0.016 -0.806 2.673
3.126 -2.054 5.495
3.444 1.588 3.526
2.440 -4.024 1.744
```

Properties
spin magnetization	0.000	Bohr magnetons per cell
space-group type	P2/m
V	192.68	Å³/cell
formation energy from raw total energies	-1.74	eV per atom

---

Please write out number 2 again, unchanged.
TbSm2ScSe4 | GGA-PBE | relaxed

The structure in POSCAR format:
```
TbSm2ScSe4
1.0
-2.772 -0.424 2.899
2.024 -6.673 0.959
3.859 4.238 4.311
Tb Sm Sc Se
1 2 1 4
Cartesian
-0.374 -3.549 1.929
0.543 1.907 3.605
2.942 -1.218 2.635
0.000 0.000 0.000
-0.016 -0.806 2.673
3.126 -2.054 5.495
3.444 1.588 3.526
2.440 -4.024 1.744
```

Properties
spin magnetization	0.000	Bohr magnetons per cell
space-group type	P2/m
V	192.68	Å³/cell
formation energy from raw total energies	-1.74	eV per atom

---

spin magnetization of number 2 (TbSm2ScSe4)?
0.000 Bohr magnetons per cell